a | Computed, not measured: a geometry-optimized SrZr structure at the PBE-GGA level of DFT.

Lattice parameters (Å, degrees): 3.4475 3.4475 11.9025 90.00 90.00 120.00
Space group P6_3/mmc (No. 194)
Inequivalent atoms, fractional coordinates:
Sr 0.0000 0.0000 0.0000 [2 per cell]
Zr 0.3333 0.6667 0.2500 [2 per cell]

---

b | Computed, not measured: a geometry-optimized SrZr structure at the PBE-GGA level of DFT.

Lattice parameters (Å, degrees): 3.377 5.092 7.499 90.00 90.00 90.00
Space group Pmmn (No. 59, origin choice 2)
Inequivalent atoms, fractional coordinates:
Sr 0.250 0.250 0.146 [2 per cell]
Zr 0.250 0.750 0.436 [2 per cell]

---

c | Computed, not measured: a geometry-optimized SrZr structure at the PBE-GGA level of DFT.

Lattice parameters (Å, degrees): 5.475 14.844 6.679 90.00 90.00 90.00
Space group Pmmn (No. 59, origin choice 2)
Inequivalent atoms, fractional coordinates:
Sr 0.250 0.088 0.096 [4 per cell]
Sr 0.250 0.250 0.618 [2 per cell]
Sr 0.250 0.750 0.772 [2 per cell]
Zr 0.250 0.012 0.602 [4 per cell]
Zr 0.250 0.624 0.293 [4 per cell]

---

d | Computed, not measured: a geometry-optimized SrZr structure at the PBE-GGA level of DFT.

Lattice parameters (Å, degrees): 5.277 23.150 5.654 90.00 90.00 90.00
Space group Amm2 (No. 38)
Inequivalent atoms, fractional coordinates:
Sr 0.000 0.000 0.000 [2 per cell]
Sr 0.000 0.119 0.497 [4 per cell]
Sr 0.500 0.120 0.029 [4 per cell]
Zr 0.000 0.225 0.928 [4 per cell]
Zr 0.500 0.000 0.510 [2 per cell]
Zr 0.500 0.224 0.594 [4 per cell]

---

Stability check: which of them is most stable? d.

---

a | Computed, not measured: a geometry-optimized SrZr structure at the PBE-GGA level of DFT.

Lattice parameters (Å, degrees): 3.447 5.517 13.951 90.00 90.00 90.00
Space group Pmmn (No. 59, origin choice 2)
Inequivalent atoms, fractional coordinates:
Sr 0.250 0.250 0.079 [2 per cell]
Sr 0.250 0.750 0.243 [2 per cell]
Zr 0.250 0.250 0.531 [2 per cell]
Zr 0.250 0.750 0.650 [2 per cell]

---

b | Computed, not measured: a geometry-optimized SrZr structure at the PBE-GGA level of DFT.

Lattice parameters (Å, degrees): 5.859 7.255 12.483 90.00 90.00 90.00
Space group Pmmn (No. 59, origin choice 2)
Inequivalent atoms, fractional coordinates:
Sr 0.250 0.001 0.092 [4 per cell]
Sr 0.250 0.250 0.359 [2 per cell]
Sr 0.250 0.250 0.791 [2 per cell]
Zr 0.250 0.533 0.576 [4 per cell]
Zr 0.250 0.750 0.379 [2 per cell]
Zr 0.250 0.750 0.789 [2 per cell]

---

Stability check: which of them is most stable? a.

---

a | Computed, not measured: a geometry-optimized SrZr structure at the PBE-GGA level of DFT.

Lattice parameters (Å, degrees): 9.236 5.736 5.271 90.00 90.00 90.00
Space group Pbcm (No. 57)
Inequivalent atoms, fractional coordinates:
Sr 0.178 0.017 0.250 [4 per cell]
Zr 0.436 0.584 0.250 [4 per cell]

---

b | Computed, not measured: a geometry-optimized SrZr structure at the PBE-GGA level of DFT.

Lattice parameters (Å, degrees): 5.409 8.273 6.032 90.00 90.00 90.00
Space group Pmm2 (No. 25)
Inequivalent atoms, fractional coordinates:
Sr 0.000 0.000 0.000 [1 per cell]
Sr 0.000 0.286 0.526 [2 per cell]
Sr 0.500 0.000 0.436 [1 per cell]
Zr 0.000 0.500 0.045 [1 per cell]
Zr 0.500 0.324 0.917 [2 per cell]
Zr 0.500 0.500 0.343 [1 per cell]

---

Stability check: which of them is most stable? a.

---

a | Computed, not measured: a geometry-optimized SrZr structure at the PBE-GGA level of DFT.

Lattice parameters (Å, degrees): 5.582 13.108 5.473 90.00 90.00 90.00
Space group Pmc2_1 (No. 26)
Inequivalent atoms, fractional coordinates:
Sr 0.000 0.088 0.000 [2 per cell]
Sr 0.000 0.282 0.501 [2 per cell]
Sr 0.500 0.270 0.958 [2 per cell]
Zr 0.000 0.454 0.047 [2 per cell]
Zr 0.500 0.053 0.479 [2 per cell]
Zr 0.500 0.458 0.396 [2 per cell]

---

b | Computed, not measured: a geometry-optimized SrZr structure at the PBE-GGA level of DFT.

Lattice parameters (Å, degrees): 5.362 21.545 6.080 90.00 90.00 90.00
Space group Amm2 (No. 38)
Inequivalent atoms, fractional coordinates:
Sr 0.000 0.000 0.000 [2 per cell]
Sr 0.000 0.181 0.115 [4 per cell]
Sr 0.500 0.171 0.647 [4 per cell]
Zr 0.000 0.069 0.518 [4 per cell]
Zr 0.500 0.000 0.676 [2 per cell]
Zr 0.500 0.069 0.214 [4 per cell]

---

c | Computed, not measured: a geometry-optimized SrZr structure at the PBE-GGA level of DFT.

Lattice parameters (Å, degrees): 6.876 5.366 11.072 90.00 93.68 90.00
Space group P2_1/m (No. 11)
Inequivalent atoms, fractional coordinates:
Sr 0.177 0.250 0.159 [2 per cell]
Sr 0.269 0.250 0.721 [2 per cell]
Sr 0.316 0.750 0.948 [2 per cell]
Zr 0.009 0.250 0.441 [2 per cell]
Zr 0.241 0.750 0.345 [2 per cell]
Zr 0.487 0.250 0.433 [2 per cell]

---

Stability check: which of them is most stable? c.